# 1
Density functional theory data (GGA-PBE) for an optimized crystal structure of AcBiI.

Output
The excess energy over the best structure of this formula in the dataset is 17.1 kJ per mole of atoms. The calculation puts the calculated total energy at -3.9053 eV/atom. Its theoretical density is 8338 kg/m3. The value obtained for the total magnetization is 0.0000 μB per atom. The value obtained for the formation energy (no corrections) is -0.73 eV per atom. Its space group is P-6m2. Its volume is 37.4 Å³/atom.

a b c (Å): 3.995 5.692 5.692
angles (deg): 120.00 90.00 90.00
Atoms (fractional coordinates):
I (0.166, 0.333, 0.667)
Ac (0.167, 0.000, 0.000)
Bi (0.667, 0.667, 0.333)

# 2
Density functional theory data (GGA-PBE) for an optimized crystal structure of LiPrAgSn.

Output
The calculation puts the calculated total energy at -3.8190 eV/atom. Its theoretical density is 7025 kg/m3. The value obtained for the total magnetization is 0.0000 μB per atom. Its space group is F-43m. Its volume is 22.1 Å³/atom.

a b c (Å): 5.002 5.002 5.002
angles (deg): 60.00 60.00 60.00
Atoms (fractional coordinates):
Pr (0.750, 0.750, 0.750)
Sn (0.250, 0.250, 0.250)
Ag (0.500, 0.500, 0.500)
Li (0.000, 0.000, 0.000)

# 3
Density functional theory data (GGA-PBE) for an optimized crystal structure of AlAs2PbBr.

Output
The excess energy over the best structure of this formula in the dataset is 63.1 kJ per mole of atoms. The calculation puts the calculated total energy at -2.9455 eV/atom. Its theoretical density is 4359 kg/m3. The value obtained for the total magnetization is 0.3410 μB per atom. The value obtained for the formation energy (no corrections) is 0.74 eV per atom. Its space group is P4/mmm. Its volume is 35.3 Å³/atom.

a b c (Å): 5.475 5.475 5.895
angles (deg): 90.00 90.00 90.00
Atoms (fractional coordinates):
Pb (0.000, 0.000, 0.000)
As (0.000, 0.500, 0.000)
As (0.500, 0.000, 0.000)
Al (0.500, 0.500, 0.500)
Br (0.000, 0.000, 0.500)

# 4
Density functional theory data (GGA-PBE) for an optimized crystal structure of ZnCr3Au.

Output
The excess energy over the best structure of this formula in the dataset is 9.7 kJ per mole of atoms. The calculation puts the calculated total energy at -5.3630 eV/atom. Its theoretical density is 5530 kg/m3. The value obtained for the total magnetization is 2.5957 μB per atom. Its space group is Pm-3m. Its volume is 25.1 Å³/atom.

a b c (Å): 5.008 5.008 5.008
angles (deg): 90.00 90.00 90.00
Atoms (fractional coordinates):
Cr (0.000, 0.500, 0.000)
Cr (0.000, 0.000, 0.500)
Cr (0.500, 0.000, 0.000)
Zn (0.500, 0.500, 0.500)
Au (0.000, 0.000, 0.000)

# 5
Density functional theory data (GGA-PBE) for an optimized crystal structure of Nd15AlTl4.

Output
The calculation puts the calculated total energy at -4.4337 eV/atom. Its theoretical density is 8099 kg/m3. The value obtained for the total magnetization is 0.0001 μB per atom. Its space group is P4/mmm. Its volume is 30.8 Å³/atom.

a b c (Å): 4.967 4.967 25.001
angles (deg): 90.00 90.00 90.00
Atoms (fractional coordinates):
Nd (0.500, 0.500, 0.000)
Nd (0.500, 0.500, 0.197)
Nd (0.500, 0.500, 0.400)
Nd (0.500, 0.500, 0.600)
Nd (0.500, 0.500, 0.803)
Nd (0.500, 0.000, 0.096)
Nd (0.500, 0.000, 0.299)
Nd (0.500, 0.000, 0.500)
Nd (0.500, 0.000, 0.701)
Nd (0.500, 0.000, 0.904)
Nd (0.000, 0.500, 0.096)
Nd (0.000, 0.500, 0.299)
Nd (0.000, 0.500, 0.500)
Nd (0.000, 0.500, 0.701)
Nd (0.000, 0.500, 0.904)
Al (0.000, 0.000, 0.000)
Tl (0.000, 0.000, 0.198)
Tl (0.000, 0.000, 0.399)
Tl (0.000, 0.000, 0.601)
Tl (0.000, 0.000, 0.802)

# 6
Density functional theory data (GGA-PBE) for an optimized crystal structure of Sm2BiTe.

Output
The excess energy over the best structure of this formula in the dataset is 21.4 kJ per mole of atoms. The calculation puts the calculated total energy at -5.0700 eV/atom. Its theoretical density is 8907 kg/m3. The value obtained for the total magnetization is 0.0019 μB per atom. The value obtained for the formation energy (no corrections) is -0.95 eV per atom. Its space group is Fm-3m. Its volume is 29.7 Å³/atom.

a b c (Å): 5.518 5.518 5.518
angles (deg): 60.00 60.00 60.00
Atoms (fractional coordinates):
Te (0.000, 0.000, 0.000)
Bi (0.500, 0.500, 0.500)
Sm (0.250, 0.250, 0.250)
Sm (0.750, 0.750, 0.750)

# 7
Density functional theory data (GGA-PBE) for an optimized crystal structure of Na3MgNb.

Output
The excess energy over the best structure of this formula in the dataset is 0.0 kJ per mole of atoms. The calculation puts the calculated total energy at -1.8757 eV/atom. Its theoretical density is 1722 kg/m3. The value obtained for the total magnetization is 0.8743 μB per atom. Its space group is Pm-3m. Its volume is 35.9 Å³/atom.

a b c (Å): 5.641 5.641 5.641
angles (deg): 90.00 90.00 90.00
Atoms (fractional coordinates):
Na (0.000, 0.500, 0.000)
Na (0.000, 0.000, 0.500)
Na (0.500, 0.000, 0.000)
Nb (0.500, 0.500, 0.500)
Mg (0.000, 0.000, 0.000)

# 8
Density functional theory data (GGA-PBE) for an optimized crystal structure of TaTeP.

Output
The excess energy over the best structure of this formula in the dataset is 30.9 kJ per mole of atoms. The calculation puts the calculated total energy at -6.7968 eV/atom. Its theoretical density is 9573 kg/m3. The value obtained for the total magnetization is 0.0000 μB per atom. The value obtained for the formation energy (no corrections) is 0.00 eV per atom. Its space group is P-6m2. Its volume is 19.6 Å³/atom.

a b c (Å): 4.406 4.406 3.503
angles (deg): 90.00 90.00 120.00
Atoms (fractional coordinates):
Ta (0.667, 0.333, 0.000)
Te (0.333, 0.667, 0.500)
P (0.000, 0.000, 0.000)

# 9
Density functional theory data (GGA-PBE) for an optimized crystal structure of Hf6VPb2.

Output
The calculation puts the calculated total energy at -8.5187 eV/atom. Its theoretical density is 12766 kg/m3. The value obtained for the total magnetization is 0.0000 μB per atom. Its space group is P-62m. Its volume is 22.2 Å³/atom.

a b c (Å): 3.666 7.931 7.936
angles (deg): 119.98 90.00 90.00
Atoms (fractional coordinates):
Hf (0.500, 0.628, 0.000)
Hf (0.500, 0.372, 0.372)
Hf (0.500, 0.000, 0.628)
Hf (0.000, 0.242, 0.000)
Hf (0.000, 0.758, 0.758)
Hf (0.000, 0.000, 0.242)
V (0.500, 0.000, 0.000)
Pb (0.000, 0.333, 0.667)
Pb (0.000, 0.667, 0.333)

# 10
Density functional theory data (GGA-PBE) for an optimized crystal structure of CdCu2Hg2.

Output
The excess energy over the best structure of this formula in the dataset is 0.0 kJ per mole of atoms. The calculation puts the calculated total energy at -1.8056 eV/atom. Its theoretical density is 11636 kg/m3. The value obtained for the total magnetization is 0.0000 μB per atom. Its space group is P4/mbm. Its volume is 18.3 Å³/atom.

a b c (Å): 7.372 7.372 3.365
angles (deg): 90.00 90.00 90.00
Atoms (fractional coordinates):
Hg (0.171, 0.671, 0.500)
Hg (0.671, 0.829, 0.500)
Hg (0.829, 0.329, 0.500)
Hg (0.329, 0.171, 0.500)
Cu (0.375, 0.875, 0.000)
Cu (0.875, 0.625, 0.000)
Cu (0.625, 0.125, 0.000)
Cu (0.125, 0.375, 0.000)
Cd (0.000, 0.000, 0.000)
Cd (0.500, 0.500, 0.000)

# 11
Density functional theory data (GGA-PBE) for an optimized crystal structure of PrNd2Dy6Ho3.

Output
The calculation puts the calculated total energy at -4.6197 eV/atom. Its theoretical density is 8144 kg/m3. The value obtained for the total magnetization is 0.0000 μB per atom. Its space group is C2/m. Its volume is 32.3 Å³/atom.

a b c (Å): 6.196 6.196 11.826
angles (deg): 94.99 94.99 119.97
Atoms (fractional coordinates):
Pr (0.000, 0.000, 0.000)
Nd (0.333, 0.667, 0.000)
Nd (0.667, 0.333, 0.000)
Dy (0.914, 0.581, 0.746)
Dy (0.752, 0.752, 0.255)
Dy (0.086, 0.419, 0.254)
Dy (0.581, 0.914, 0.746)
Dy (0.248, 0.248, 0.745)
Dy (0.419, 0.086, 0.254)
Ho (0.167, 0.833, 0.500)
Ho (0.833, 0.167, 0.500)
Ho (0.500, 0.500, 0.500)

# 12
Density functional theory data (GGA-PBE) for an optimized crystal structure of Ca3GaSi2Au6.

Output
The calculation puts the calculated total energy at -3.6962 eV/atom. Its theoretical density is 8530 kg/m3. The value obtained for the total magnetization is 0.0000 μB per atom. The value obtained for the formation energy (no corrections) is -0.40 eV per atom. Its space group is P-3m1. Its volume is 23.2 Å³/atom.

a b c (Å): 6.376 6.376 7.895
angles (deg): 90.00 90.00 120.00
Atoms (fractional coordinates):
Ca (0.333, 0.667, 0.672)
Ca (0.667, 0.333, 0.328)
Ca (0.000, 0.000, 0.000)
Ga (0.000, 0.000, 0.500)
Si (0.667, 0.333, 0.935)
Si (0.333, 0.667, 0.065)
Au (0.643, 0.821, 0.295)
Au (0.179, 0.357, 0.295)
Au (0.179, 0.821, 0.295)
Au (0.821, 0.643, 0.705)
Au (0.357, 0.179, 0.705)
Au (0.821, 0.179, 0.705)

# 13
Density functional theory data (GGA-PBE) for an optimized crystal structure of Ac8Hg2Pd.

Output
The calculation puts the calculated total energy at -3.7750 eV/atom. Its theoretical density is 9323 kg/m3. The value obtained for the total magnetization is 0.0000 μB per atom. Its space group is C2/m. Its volume is 37.6 Å³/atom.

a b c (Å): 5.525 7.635 10.308
angles (deg): 98.57 105.54 90.00
Atoms (fractional coordinates):
Ac (0.409, 0.542, 0.817)
Ac (0.652, 0.979, 0.303)
Ac (0.793, 0.674, 0.585)
Ac (0.981, 0.228, 0.962)
Ac (0.207, 0.326, 0.415)
Ac (0.348, 0.021, 0.697)
Ac (0.591, 0.458, 0.183)
Ac (0.019, 0.772, 0.038)
Hg (0.811, 0.249, 0.622)
Hg (0.189, 0.751, 0.378)
Pd (0.500, 0.000, 0.000)

# 14
Density functional theory data (GGA-PBE) for an optimized crystal structure of ZnSeIO2.

Output
The excess energy over the best structure of this formula in the dataset is 0.0 kJ per mole of atoms. The calculation puts the calculated total energy at -3.2674 eV/atom. Its theoretical density is 4374 kg/m3. The value obtained for the total magnetization is 0.0000 μB per atom. The value obtained for the formation energy (no corrections) is -0.02 eV per atom. Its space group is P4/mmm. Its volume is 23.0 Å³/atom.

a b c (Å): 3.900 3.900 7.572
angles (deg): 90.00 90.00 90.00
Atoms (fractional coordinates):
I (0.000, 0.000, 0.500)
Zn (0.500, 0.500, 0.500)
O (0.000, 0.500, 0.000)
O (0.500, 0.000, 0.000)
Se (0.000, 0.000, 0.000)

# 15
Density functional theory data (GGA-PBE) for an optimized crystal structure of Sc2CdRh.

Output
The calculation puts the calculated total energy at -5.6490 eV/atom. Its theoretical density is 6069 kg/m3. The value obtained for the total magnetization is 0.0000 μB per atom. Its space group is R-3m. Its volume is 20.9 Å³/atom.

a b c (Å): 8.734 8.734 8.734
angles (deg): 22.21 22.21 22.21
Atoms (fractional coordinates):
Cd (0.250, 0.250, 0.250)
Rh (0.750, 0.750, 0.750)
Sc (0.012, 0.012, 0.012)
Sc (0.488, 0.488, 0.488)

# 16
Density functional theory data (GGA-PBE) for an optimized crystal structure of Tl10Hg3Au3.

Output
The calculation puts the calculated total energy at -2.1423 eV/atom. Its theoretical density is 11844 kg/m3. The value obtained for the total magnetization is 0.0000 μB per atom. Its space group is P-62m. Its volume is 28.4 Å³/atom.

a b c (Å): 6.693 8.848 8.848
angles (deg): 120.00 90.00 90.00
Atoms (fractional coordinates):
Tl (0.237, 0.667, 0.333)
Tl (0.237, 0.333, 0.667)
Tl (0.763, 0.333, 0.667)
Tl (0.763, 0.667, 0.333)
Tl (0.500, 0.000, 0.766)
Tl (0.500, 0.766, 0.000)
Tl (0.500, 0.234, 0.234)
Tl (0.000, 0.000, 0.251)
Tl (0.000, 0.251, 0.000)
Tl (0.000, 0.749, 0.749)
Hg (0.500, 0.000, 0.410)
Hg (0.500, 0.410, 0.000)
Hg (0.500, 0.590, 0.590)
Au (0.000, 0.000, 0.610)
Au (0.000, 0.610, 0.000)
Au (0.000, 0.390, 0.390)

# 17
Density functional theory data (GGA-PBE) for an optimized crystal structure of MgAlAg.

Output
The calculation puts the calculated total energy at -2.7165 eV/atom. Its theoretical density is 4801 kg/m3. The value obtained for the total magnetization is 0.0000 μB per atom. Its space group is Fmm2. Its volume is 18.4 Å³/atom.

a b c (Å): 7.197 6.993 2.935
angles (deg): 81.99 74.19 23.82
Atoms (fractional coordinates):
Ag (0.003, 0.003, 0.997)
Al (0.662, 0.662, 0.338)
Mg (0.336, 0.336, 0.664)

# 18
Density functional theory data (GGA-PBE) for an optimized crystal structure of La6P2SeI3.

Output
The calculation puts the calculated total energy at -5.5269 eV/atom. Its theoretical density is 5949 kg/m3. The value obtained for the total magnetization is 0.0000 μB per atom. The value obtained for the formation energy (no corrections) is -1.48 eV per atom. Its space group is C2/m. Its volume is 31.5 Å³/atom.

a b c (Å): 7.502 7.502 8.155
angles (deg): 98.82 98.82 120.01
Atoms (fractional coordinates):
La (0.935, 0.590, 0.804)
La (0.721, 0.721, 0.195)
La (0.065, 0.410, 0.196)
La (0.590, 0.935, 0.804)
La (0.279, 0.279, 0.805)
La (0.410, 0.065, 0.196)
P (0.333, 0.667, 0.000)
P (0.667, 0.333, 0.000)
Se (0.000, 0.000, 0.000)
I (0.164, 0.836, 0.500)
I (0.836, 0.164, 0.500)
I (0.500, 0.500, 0.500)

# 19
Density functional theory data (GGA-PBE) for an optimized crystal structure of DyCuPb.

Output
The calculation puts the calculated total energy at -4.2947 eV/atom. Its theoretical density is 10309 kg/m3. The value obtained for the total magnetization is 0.0000 μB per atom. Its space group is I4mm. Its volume is 23.3 Å³/atom.

a b c (Å): 3.456 3.456 6.334
angles (deg): 105.83 105.83 90.00
Atoms (fractional coordinates):
Pb (0.931, 0.931, 0.861)
Cu (0.279, 0.279, 0.558)
Dy (0.640, 0.640, 0.281)

# 20
Density functional theory data (GGA-PBE) for an optimized crystal structure of Ba2NaAlAu6.

Output
The calculation puts the calculated total energy at -3.2256 eV/atom. Its theoretical density is 8998 kg/m3. The value obtained for the total magnetization is 0.0000 μB per atom. Its space group is Fm-3m. Its volume is 27.8 Å³/atom.

a b c (Å): 7.326 7.326 7.326
angles (deg): 60.00 60.00 90.00
Atoms (fractional coordinates):
Ba (0.250, 0.750, 0.500)
Ba (0.750, 0.250, 0.500)
Na (0.000, 0.000, 0.000)
Al (0.500, 0.500, 0.000)
Au (0.261, 0.739, 0.000)
Au (0.739, 0.739, 0.000)
Au (0.261, 0.261, 0.477)
Au (0.739, 0.261, 0.000)
Au (0.261, 0.261, 0.000)
Au (0.739, 0.739, 0.523)